[1]
The following is a DFT calculation (PBE) of a geometry-optimized LaZr structure.

Cell: 5.575 5.575 8.607 Å, 90.00 90.00 120.00°
Element x y z (fractional)
1 La 0.000 0.000 0.750
2 La 0.000 0.000 0.250
3 La 0.333 0.667 0.250
4 La 0.667 0.333 0.750
5 Zr 0.333 0.667 0.919
6 Zr 0.667 0.333 0.419
7 Zr 0.667 0.333 0.081
8 Zr 0.333 0.667 0.581

total magnetic moment: 0.0 μB per formula unit
DFT formation energy: 325 meV per atom
density of states at the Fermi level: 15.0 states/eV/cell
calculated total energy: -51.30 eV for the cell shown
E above lowest polymorph: 208 meV/atom



[2]
The following is a DFT calculation (PBE) of a geometry-optimized LaZr3 structure.

Cell: 3.300 3.300 10.926 Å, 90.00 90.00 120.00°
Element x y z (fractional)
1 La 0.000 0.000 0.000
2 Zr 0.000 0.000 0.500
3 Zr 0.333 0.667 0.270
4 Zr 0.333 0.667 0.730

total magnetic moment: 0.0 μB per formula unit
DFT formation energy: 115 meV per atom
density of states at the Fermi level: 5.1 states/eV/cell
calculated total energy: -30.11 eV for the cell shown



[3]
The following is a DFT calculation (PBE) of a geometry-optimized LaZr3 structure.

Cell: 3.230 5.661 5.944 Å, 96.63 90.00 106.58°
Element x y z (fractional)
1 La 0.000 0.000 0.000
2 Zr 0.760 0.520 0.279
3 Zr 0.500 0.000 0.500
4 Zr 0.240 0.480 0.721

total magnetic moment: 0.0 μB per formula unit
DFT formation energy: 143 meV per atom
density of states at the Fermi level: 5.0 states/eV/cell
calculated total energy: -30.00 eV for the cell shown



Repeat the third record exactly.
The following is a DFT calculation (PBE) of a geometry-optimized LaZr3 structure.

Cell: 3.230 5.661 5.944 Å, 96.63 90.00 106.58°
Element x y z (fractional)
1 La 0.000 0.000 0.000
2 Zr 0.760 0.520 0.279
3 Zr 0.500 0.000 0.500
4 Zr 0.240 0.480 0.721

total magnetic moment: 0.0 μB per formula unit
DFT formation energy: 143 meV per atom
density of states at the Fermi level: 5.0 states/eV/cell
calculated total energy: -30.00 eV for the cell shown